Density functional theory data (meta-GGA SCAN) for Ba2CaAg at its PBEsol-relaxed geometry. Values from VASP.

The structure in Quantum ESPRESSO input format:
```
&SYSTEM
  ibrav = 0, nat = 4, ntyp = 3
/
ATOMIC_SPECIES
Ba 137.33 Ba.upf
Ca 40.08 Ca.upf
Ag 107.87 Ag.upf
CELL_PARAMETERS angstrom
4.0428 0.0000 0.0000
0.0000 4.0428 0.0000
0.0000 0.0000 9.9927
ATOMIC_POSITIONS crystal
Ba 0.0000 0.0000 0.1912
Ba 0.0000 0.0000 0.8088
Ca 0.5000 0.5000 0.5000
Ag 0.5000 0.5000 0.0000
```

Results
N(E_F) = 4.10 states/eV/cell
formation enthalpy at 0 K = -2.57 kcal/mol of atoms
DFT total energy = -120.58 eV for the cell shown
excess energy over the best structure of this formula in the dataset = 0.0 meV/atom
space group = P4/mmm